Computed, not measured: an optimized crystal structure of TePb3S2 at the GGA-PBE level of DFT.

Volume (Å³/atom): 29.70
Formation energy without anion corrections (eV/atom): -0.46
SG: C2/c
Energy above the lowest structure with this stoichiometry (eV per atom): 0.000
Total DFT energy (no corrections) (eV/atom): -4.21

abc: 7.575 7.618 7.618
angles: 120.61 99.57 99.57
Element x y z (fractional)
Te1 0.750 0.425 0.575
Pb1 0.500 0.000 0.500
Te2 0.250 0.575 0.425
Pb2 0.996 0.866 0.680
S1 0.750 0.741 0.259
Pb3 0.496 0.680 0.866
Pb4 0.000 0.500 0.000
S2 0.250 0.912 0.088
Pb5 0.504 0.320 0.134
S3 0.750 0.088 0.912
S4 0.250 0.259 0.741
Pb6 0.004 0.134 0.320


Computed, not measured: an optimized crystal structure of Te3Pb4S at the GGA-PBE level of DFT.

Volume (Å³/atom): 33.38
Formation energy without anion corrections (eV/atom): -0.40
SG: P4/mmm
Energy above the lowest structure with this stoichiometry (eV per atom): 0.000
Total DFT energy (no corrections) (eV/atom): -3.95

abc: 4.561 4.561 12.833
angles: 90.00 90.00 90.00
Element x y z (fractional)
S1 0.000 0.000 0.000
Te1 0.500 0.500 0.752
Pb1 0.500 0.500 0.500
Pb2 0.000 0.000 0.765
Pb3 0.000 0.000 0.235
Pb4 0.500 0.500 0.000
Te2 0.500 0.500 0.248
Te3 0.000 0.000 0.500


Computed, not measured: an optimized crystal structure of TePbS2 at the GGA-PBE level of DFT.

Volume (Å³/atom): 28.93
Formation energy without anion corrections (eV/atom): -0.18
SG: P2_1/c
Energy above the lowest structure with this stoichiometry (eV per atom): 0.000
Total DFT energy (no corrections) (eV/atom): -3.95

abc: 8.077 8.429 8.203
angles: 124.01 90.00 90.00
Element x y z (fractional)
S1 0.305 0.160 0.665
S2 0.805 0.155 0.160
S3 0.195 0.845 0.840
Te1 0.390 0.752 0.002
Pb1 0.102 0.253 0.003
S4 0.695 0.840 0.335
Pb2 0.898 0.747 0.997
Pb3 0.602 0.247 0.497
Te2 0.610 0.248 0.998
Pb4 0.398 0.753 0.503
Te3 0.890 0.748 0.498
S5 0.305 0.345 0.340
S6 0.195 0.660 0.165
Te4 0.110 0.252 0.502
S7 0.805 0.340 0.835
S8 0.695 0.655 0.660


Computed, not measured: an optimized crystal structure of Te3Pb4S at the GGA-PBE level of DFT.

Volume (Å³/atom): 41.14
Formation energy without anion corrections (eV/atom): -0.34
SG: Pmn2_1
Energy above the lowest structure with this stoichiometry (eV per atom): 0.056
Total DFT energy (no corrections) (eV/atom): -3.89

abc: 6.572 9.783 10.237
angles: 90.00 90.00 90.00
Element x y z (fractional)
Pb1 0.568 0.675 0.264
Pb2 0.568 0.675 0.736
Te1 0.055 0.657 0.764
Te2 0.554 0.852 0.000
Te3 0.555 0.343 0.736
Te4 0.055 0.657 0.236
Pb3 0.068 0.325 0.236
S1 0.535 0.825 0.500
Pb4 0.569 0.140 0.500
Pb5 0.112 0.825 0.500
Pb6 0.069 0.860 0.000
Pb7 0.068 0.325 0.764
Te5 0.054 0.148 0.500
Te6 0.555 0.343 0.264
Pb8 0.612 0.175 0.000
S2 0.035 0.175 0.000


Computed, not measured: an optimized crystal structure of Te3PbS at the GGA-PBE level of DFT.

Volume (Å³/atom): 30.36
Formation energy without anion corrections (eV/atom): 0.20
SG: Pm-3m
Energy above the lowest structure with this stoichiometry (eV per atom): 0.000
Total DFT energy (no corrections) (eV/atom): -3.25

abc: 5.335 5.335 5.335
angles: 90.00 90.00 90.00
Element x y z (fractional)
Te1 0.000 0.500 0.000
S1 0.000 0.000 0.000
Te2 0.000 0.000 0.500
Pb1 0.500 0.500 0.500
Te3 0.500 0.000 0.000


Computed, not measured: an optimized crystal structure of TePbS3 at the GGA-PBE level of DFT.

Volume (Å³/atom): 26.00
Formation energy without anion corrections (eV/atom): 0.13
SG: Pm-3m
Energy above the lowest structure with this stoichiometry (eV per atom): 0.302
Total DFT energy (no corrections) (eV/atom): -3.72

abc: 5.066 5.066 5.066
angles: 90.00 90.00 90.00
Element x y z (fractional)
S1 0.500 0.000 0.000
Te1 0.000 0.000 0.000
Pb1 0.500 0.500 0.500
S2 0.000 0.000 0.500
S3 0.000 0.500 0.000


Computed, not measured: an optimized crystal structure of TePb3S at the GGA-PBE level of DFT.

Volume (Å³/atom): 34.50
Formation energy without anion corrections (eV/atom): 0.05
SG: Pm-3m
Energy above the lowest structure with this stoichiometry (eV per atom): 0.000
Total DFT energy (no corrections) (eV/atom): -3.63

abc: 5.567 5.567 5.567
angles: 90.00 90.00 90.00
Element x y z (fractional)
Pb1 0.500 0.000 0.000
Pb2 0.000 0.500 0.000
Pb3 0.000 0.000 0.500
Te1 0.500 0.500 0.500
S1 0.000 0.000 0.000


Computed, not measured: an optimized crystal structure of TePb2S4 at the GGA-PBE level of DFT.

Volume (Å³/atom): 29.48
Formation energy without anion corrections (eV/atom): -0.26
SG: Cmmm
Energy above the lowest structure with this stoichiometry (eV per atom): 0.000
Total DFT energy (no corrections) (eV/atom): -4.13

abc: 4.034 7.328 7.328
angles: 107.75 90.00 90.00
Element x y z (fractional)
S1 0.500 0.213 0.213
Pb1 0.500 0.500 0.000
Pb2 0.500 0.000 0.500
S2 0.000 0.228 0.772
S3 0.000 0.772 0.228
Te1 0.000 0.000 0.000
S4 0.500 0.787 0.787


Computed, not measured: an optimized crystal structure of TePbS3 at the GGA-PBE level of DFT.

Volume (Å³/atom): 26.14
Formation energy without anion corrections (eV/atom): -0.17
SG: Pnma
Energy above the lowest structure with this stoichiometry (eV per atom): 0.000
Total DFT energy (no corrections) (eV/atom): -4.02

abc: 3.945 9.352 14.169
angles: 90.00 90.00 90.00
Element x y z (fractional)
S1 0.250 0.658 0.009
Te1 0.750 0.329 0.560
S2 0.250 0.499 0.620
S3 0.250 0.803 0.288
Te2 0.250 0.171 0.060
S4 0.750 0.842 0.509
Pb1 0.750 0.009 0.339
S5 0.750 0.697 0.788
Te3 0.250 0.671 0.440
Pb2 0.250 0.491 0.839
S6 0.250 0.303 0.212
S7 0.250 0.999 0.880
S8 0.750 0.501 0.380
S9 0.250 0.158 0.491
Pb3 0.750 0.509 0.161
S10 0.750 0.001 0.120
Pb4 0.250 0.991 0.661
S11 0.750 0.342 0.991
S12 0.750 0.197 0.712
Te4 0.750 0.829 0.940


Computed, not measured: an optimized crystal structure of Te4Pb5S at the GGA-PBE level of DFT.

Volume (Å³/atom): 33.71
Formation energy without anion corrections (eV/atom): -0.40
SG: I4/mmm
Energy above the lowest structure with this stoichiometry (eV per atom): 0.019
Total DFT energy (no corrections) (eV/atom): -3.92

abc: 4.574 4.574 16.437
angles: 98.00 98.00 90.00
Element x y z (fractional)
Te1 0.599 0.599 0.199
Te2 0.803 0.803 0.605
S1 0.000 0.000 0.000
Pb1 0.702 0.702 0.404
Pb2 0.500 0.500 0.000
Te3 0.197 0.197 0.395
Te4 0.401 0.401 0.801
Pb3 0.298 0.298 0.596
Pb4 0.908 0.908 0.815
Pb5 0.092 0.092 0.185


Computed, not measured: an optimized crystal structure of Te4Pb5S at the GGA-PBE level of DFT.

Volume (Å³/atom): 33.44
Formation energy without anion corrections (eV/atom): -0.42
SG: R-3m
Energy above the lowest structure with this stoichiometry (eV per atom): 0.000
Total DFT energy (no corrections) (eV/atom): -3.94

abc: 4.555 4.555 18.797
angles: 83.04 83.04 60.00
Element x y z (fractional)
S1 0.500 0.500 0.500
Pb1 0.000 0.000 0.000
Pb2 0.195 0.195 0.416
Te1 0.299 0.299 0.104
Pb3 0.805 0.805 0.584
Pb4 0.403 0.403 0.792
Te2 0.701 0.701 0.896
Pb5 0.597 0.597 0.208
Te3 0.104 0.104 0.689
Te4 0.896 0.896 0.311


Computed, not measured: an optimized crystal structure of Te2PbS4 at the GGA-PBE level of DFT.

Volume (Å³/atom): 28.37
Formation energy without anion corrections (eV/atom): -0.04
SG: Cc
Total DFT energy (no corrections) (eV/atom): -3.83

abc: 8.821 7.806 8.266
angles: 72.46 57.75 55.59
Element x y z (fractional)
S1 0.992 0.357 0.718
S2 0.651 0.356 0.283
S3 0.184 0.695 0.704
Te1 0.403 0.212 0.254
S4 0.460 0.857 0.782
S5 0.638 0.195 0.796
Pb1 0.013 0.973 0.000
Te2 0.881 0.714 0.753
S6 0.122 0.694 0.296
Te3 0.384 0.214 0.747
S7 0.168 0.193 0.204
S8 0.684 0.856 0.217
Te4 0.406 0.712 0.246
Pb2 0.764 0.473 0.500


Computed, not measured: an optimized crystal structure of Te5Pb3S12 at the GGA-PBE level of DFT.

Volume (Å³/atom): 28.54
Formation energy without anion corrections (eV/atom): 0.07
SG: Ia-3d
Total DFT energy (no corrections) (eV/atom): -3.75

abc: 14.368 14.368 14.368
angles: 109.47 109.47 109.47
Element x y z (fractional)
S1 0.962 0.374 0.291
S2 0.374 0.962 0.791
Pb1 0.375 0.625 0.250
S3 0.126 0.709 0.538
S4 0.626 0.038 0.209
Te1 0.875 0.625 0.750
S5 0.626 0.588 0.917
S6 0.417 0.126 0.588
S7 0.874 0.291 0.462
Te2 0.500 0.000 0.000
Pb2 0.125 0.875 0.750
S8 0.962 0.588 0.171
S9 0.671 0.462 0.588
Te3 0.750 0.125 0.875
S10 0.126 0.417 0.088
S11 0.709 0.583 0.171
Te4 0.000 0.500 0.500
Pb3 0.625 0.250 0.375
Te5 0.500 0.500 0.000
S12 0.791 0.329 0.917
S13 0.291 0.874 0.962
S14 0.083 0.171 0.209
S15 0.374 0.412 0.083
S16 0.917 0.088 0.626
S17 0.412 0.038 0.329
S18 0.912 0.083 0.874
S19 0.462 0.791 0.874
S20 0.917 0.829 0.791
Te6 0.875 0.250 0.625
S21 0.329 0.538 0.412
Te7 0.375 0.125 0.750
S22 0.791 0.462 0.374
Pb4 0.625 0.375 0.750
S23 0.874 0.583 0.912
Te8 0.000 0.000 0.000
Pb5 0.875 0.125 0.250
S24 0.671 0.209 0.583
S25 0.462 0.671 0.088
S26 0.412 0.374 0.583
Te9 0.000 0.000 0.500
S27 0.829 0.917 0.291
S28 0.538 0.329 0.912
S29 0.829 0.912 0.038
S30 0.171 0.083 0.709
Te10 0.375 0.250 0.125
S31 0.417 0.291 0.329
S32 0.088 0.917 0.126
Te11 0.125 0.375 0.250
S33 0.209 0.538 0.626
S34 0.583 0.874 0.412
S35 0.209 0.671 0.083
Te12 0.000 0.500 0.000
Te13 0.125 0.750 0.375
Te14 0.500 0.000 0.500
Pb6 0.125 0.250 0.875
Te15 0.625 0.750 0.875
Pb7 0.250 0.625 0.875
S36 0.171 0.088 0.962
Pb8 0.750 0.375 0.125
Pb9 0.375 0.750 0.625
S37 0.329 0.791 0.417
S38 0.083 0.912 0.374
S39 0.538 0.209 0.126
Te16 0.625 0.875 0.250
Pb10 0.250 0.125 0.375
S40 0.038 0.626 0.709
S41 0.583 0.709 0.671
S42 0.709 0.126 0.038
Te17 0.500 0.500 0.500
S43 0.291 0.417 0.829
S44 0.588 0.626 0.417
Pb11 0.750 0.875 0.625
Te18 0.750 0.625 0.375
S45 0.038 0.412 0.829
S46 0.588 0.962 0.671
S47 0.088 0.171 0.462
Te19 0.250 0.375 0.625
Pb12 0.875 0.750 0.125
Te20 0.250 0.875 0.125
S48 0.912 0.829 0.538


Computed, not measured: an optimized crystal structure of TePb2S at the GGA-PBE level of DFT.

Volume (Å³/atom): 42.13
Formation energy without anion corrections (eV/atom): -0.28
SG: I-42d
Energy above the lowest structure with this stoichiometry (eV per atom): 0.169
Total DFT energy (no corrections) (eV/atom): -3.95

abc: 6.958 6.958 8.525
angles: 65.91 65.91 90.00
Element x y z (fractional)
Te1 0.000 0.000 0.000
Pb1 0.162 0.625 0.250
S1 0.500 0.500 0.000
Pb2 0.375 0.412 0.750
S2 0.250 0.750 0.500
Pb3 0.875 0.838 0.750
Te2 0.750 0.250 0.500
Pb4 0.588 0.125 0.250


Computed, not measured: an optimized crystal structure of Te2Pb3S at the GGA-PBE level of DFT.

Volume (Å³/atom): 32.43
Formation energy without anion corrections (eV/atom): -0.42
SG: Immm
Total DFT energy (no corrections) (eV/atom): -4.01

abc: 4.480 6.413 7.821
angles: 114.21 106.64 90.00
Element x y z (fractional)
Pb1 0.149 0.649 0.799
Te1 0.173 0.173 0.846
Te2 0.827 0.827 0.154
Pb2 0.500 0.000 0.500
Pb3 0.851 0.351 0.201
S1 0.500 0.500 0.500


Computed, not measured: an optimized crystal structure of Te2Pb2S5 at the GGA-PBE level of DFT.

Volume (Å³/atom): 31.06
Formation energy without anion corrections (eV/atom): -0.12
SG: Ima2
Energy above the lowest structure with this stoichiometry (eV per atom): 0.000
Total DFT energy (no corrections) (eV/atom): -3.94

abc: 6.420 8.280 11.750
angles: 110.63 105.85 90.00
Element x y z (fractional)
Pb1 0.392 0.906 0.760
S1 0.878 0.202 0.500
Te1 0.500 0.569 0.000
S2 0.867 0.320 0.133
S3 0.557 0.529 0.321
S4 0.233 0.686 0.867
Pb2 0.608 0.146 0.240
Te2 0.756 0.770 0.500
S5 0.264 0.029 0.321
Pb3 0.132 0.646 0.240
S6 0.767 0.820 0.133
S7 0.133 0.186 0.867
S8 0.122 0.702 0.500
Te3 0.244 0.270 0.500
S9 0.443 0.208 0.679
S10 0.736 0.708 0.679
Pb4 0.868 0.406 0.760
Te4 0.000 0.069 0.000


Computed, not measured: an optimized crystal structure of TePb2S at the GGA-PBE level of DFT.

Volume (Å³/atom): 39.57
Formation energy without anion corrections (eV/atom): -0.32
SG: P3m1
Energy above the lowest structure with this stoichiometry (eV per atom): 0.126
Total DFT energy (no corrections) (eV/atom): -4.00

abc: 5.275 5.275 6.567
angles: 90.00 90.00 120.00
Element x y z (fractional)
Te1 0.667 0.333 0.465
Pb1 0.667 0.333 0.941
S1 0.000 0.000 0.962
Pb2 0.000 0.000 0.382


Computed, not measured: an optimized crystal structure of TePb2S5 at the GGA-PBE level of DFT.

Volume (Å³/atom): 31.25
Formation energy without anion corrections (eV/atom): -0.16
SG: Cm
Total DFT energy (no corrections) (eV/atom): -4.06

abc: 7.182 7.181 7.554
angles: 128.41 123.88 76.11
Element x y z (fractional)
Pb1 0.654 0.145 0.335
S1 0.288 0.757 0.045
Pb2 0.190 0.681 0.335
S2 0.777 0.752 0.996
Te1 0.006 0.998 0.004
S3 0.881 0.465 0.347
S4 0.737 0.760 0.496
S5 0.245 0.219 0.996


Computed, not measured: an optimized crystal structure of TePb2S at the GGA-PBE level of DFT.

Volume (Å³/atom): 31.50
Formation energy without anion corrections (eV/atom): -0.39
SG: P4/mmm
Energy above the lowest structure with this stoichiometry (eV per atom): 0.063
Total DFT energy (no corrections) (eV/atom): -4.06

abc: 4.466 4.466 6.316
angles: 90.00 90.00 90.00
Element x y z (fractional)
Pb1 0.000 0.000 0.000
Te1 0.500 0.500 0.000
S1 0.000 0.000 0.500
Pb2 0.500 0.500 0.500